[1]
Density functional theory data (PBE) for an optimized crystal structure of Sm2YTl.

a = 6.7172 Å, b = 3.4974 Å, c = 11.5683 Å
α = 90.00°, β = 104.57°, γ = 90.00°
Element x y z (fractional)
Sm (0.0727, 0.2500, 0.3786)
Sm (0.4246, 0.7500, 0.6176)
Sm (0.5754, 0.2500, 0.3824)
Sm (0.9273, 0.7500, 0.6214)
Y (0.2882, 0.7500, 0.9046)
Y (0.7118, 0.2500, 0.0954)
Tl (0.2121, 0.2500, 0.1266)
Tl (0.7879, 0.7500, 0.8734)

Summary:
Distance to the lowest polymorph of the same formula (kcal/mol of atoms): 5.95
Crystal system: monoclinic
E (eV per atom): -4.5057
Total moment (μB per formula unit): 0.00
Space group: No. 11
N(E_F) (states/eV/cell): 10.2

[2]
Density functional theory data (PBE) for an optimized crystal structure of Sm12YTl3.

a = 4.9500 Å, b = 4.9500 Å, c = 20.2459 Å
α = 90.00°, β = 90.00°, γ = 90.00°
Element x y z (fractional)
Sm (0.0000, 0.0000, 0.0000)
Sm (0.0000, 0.0000, 0.2457)
Sm (0.0000, 0.0000, 0.5000)
Sm (0.0000, 0.0000, 0.7543)
Sm (0.0000, 0.5000, 0.1230)
Sm (0.0000, 0.5000, 0.3693)
Sm (0.0000, 0.5000, 0.6307)
Sm (0.0000, 0.5000, 0.8770)
Sm (0.5000, 0.0000, 0.1230)
Sm (0.5000, 0.0000, 0.3693)
Sm (0.5000, 0.0000, 0.6307)
Sm (0.5000, 0.0000, 0.8770)
Y (0.5000, 0.5000, 0.5000)
Tl (0.5000, 0.5000, 0.0000)
Tl (0.5000, 0.5000, 0.2430)
Tl (0.5000, 0.5000, 0.7570)

Summary:
Crystal system: tetragonal
E (eV per atom): -4.5245
Total moment (μB per formula unit): 0.00
Space group: No. 123
N(E_F) (states/eV/cell): 23.3

[3]
Density functional theory data (PBE) for an optimized crystal structure of Sm2YTl.

a = 3.5870 Å, b = 3.5870 Å, c = 36.7620 Å
α = 90.00°, β = 90.00°, γ = 120.00°
Element x y z (fractional)
Sm (0.0000, 0.0000, 0.0887)
Sm (0.0000, 0.0000, 0.9113)
Sm (0.3333, 0.6667, 0.5780)
Sm (0.3333, 0.6667, 0.7553)
Sm (0.6667, 0.3333, 0.2447)
Sm (0.6667, 0.3333, 0.4220)
Y (0.0000, 0.0000, 0.5000)
Y (0.3333, 0.6667, 0.1667)
Y (0.6667, 0.3333, 0.8333)
Tl (0.0000, 0.0000, 0.0000)
Tl (0.3333, 0.6667, 0.6667)
Tl (0.6667, 0.3333, 0.3333)

Summary:
Distance to the lowest polymorph of the same formula (kcal/mol of atoms): 6.42
Crystal system: trigonal
E (eV per atom): -4.4855
Total moment (μB per formula unit): 0.00
Space group: No. 166
N(E_F) (states/eV/cell): 13.4

Look up the E of the first one.
-4.5057 eV per atom